Density functional theory data (PBE) for an optimized crystal structure of V2CdP.

Calculated values
Space-group type ... Fm-3m (225)
DOS(E_F) ... 4.5 states/eV/cell
Energy of formation ... 28.2 kJ per mole of atoms

POSCAR file:
```
V2CdP
1.0
-2.165 -3.567 -1.290
-4.161 0.318 -1.290
-1.027 -0.527 -4.213
P Cd V
1 1 2
Direct
0.000 0.000 0.000
0.500 0.500 0.500
0.250 0.250 0.250
0.750 0.750 0.750
```

***

Density functional theory data (PBE) for an optimized crystal structure of VCd3P.

Calculated values
Space-group type ... Pm-3m (221)
DOS(E_F) ... 2.9 states/eV/cell
Energy of formation ... 111.6 kJ per mole of atoms

POSCAR file:
```
VCd3P
1.0
5.334 0.000 0.000
0.000 5.334 0.000
0.000 0.000 5.334
P Cd V
1 3 1
Direct
0.500 0.500 0.500
0.000 0.500 0.000
0.000 0.000 0.500
0.500 0.000 0.000
0.000 0.000 0.000
```

***

Density functional theory data (PBE) for an optimized crystal structure of V2CdP.

Calculated values
Space-group type ... I-42d (122)
DOS(E_F) ... 8.8 states/eV/cell
Energy of formation ... 45.3 kJ per mole of atoms

POSCAR file:
```
V2CdP
1.0
-0.345 -1.758 3.643
2.048 -3.229 -1.364
8.349 1.207 3.636
P Cd V
2 2 4
Direct
0.500 0.500 0.000
0.250 0.750 0.500
0.000 0.000 0.000
0.750 0.250 0.500
0.474 0.125 0.250
0.276 0.625 0.250
0.375 0.526 0.750
0.875 0.724 0.750
```

***

Density functional theory data (PBE) for an optimized crystal structure of VCdP3.

Calculated values
Space-group type ... Pm-3m (221)
DOS(E_F) ... 3.1 states/eV/cell
Energy of formation ... 26.5 kJ per mole of atoms

POSCAR file:
```
VCdP3
1.0
4.586 0.000 0.000
0.000 4.586 0.000
0.000 0.000 4.586
P Cd V
3 1 1
Direct
0.000 0.500 0.000
0.000 0.000 0.500
0.500 0.000 0.000
0.500 0.500 0.500
0.000 0.000 0.000
```

***

Density functional theory data (PBE) for an optimized crystal structure of VCdP3.

Calculated values
Space-group type ... Pm-3m (221)
DOS(E_F) ... 7.4 states/eV/cell
Energy of formation ... 141.3 kJ per mole of atoms

POSCAR file:
```
VCdP3
1.0
4.890 0.000 0.000
0.000 4.890 0.000
0.000 0.000 4.890
P Cd V
3 1 1
Direct
0.000 0.500 0.000
0.000 0.000 0.500
0.500 0.000 0.000
0.000 0.000 0.000
0.500 0.500 0.500
```

***

Density functional theory data (PBE) for an optimized crystal structure of VCd3P.

Calculated values
Space-group type ... Pm-3m (221)
DOS(E_F) ... 7.3 states/eV/cell
Energy of formation ... 82.7 kJ per mole of atoms

POSCAR file:
```
VCd3P
1.0
-0.116 -4.065 -3.035
4.420 -1.570 1.934
-2.489 -2.600 3.577
P Cd V
1 3 1
Direct
0.000 0.000 0.000
0.000 0.500 0.000
0.000 0.000 0.500
0.500 0.000 0.000
0.500 0.500 0.500
```

***

Density functional theory data (PBE) for an optimized crystal structure of Cd3PW.

Calculated values
Space-group type ... Pm-3m (221)
DOS(E_F) ... 5.9 states/eV/cell
Energy of formation ... 160.0 kJ per mole of atoms

POSCAR file:
```
Cd3PW
1.0
-1.750 2.134 4.492
-4.965 -0.481 -1.706
-0.280 -4.797 2.170
P W Cd
1 1 3
Direct
0.500 0.500 0.500
0.000 0.000 0.000
0.000 0.500 0.000
0.000 0.000 0.500
0.500 0.000 0.000
```

***

Density functional theory data (PBE) for an optimized crystal structure of CdP3W.

Calculated values
Space-group type ... Pm-3m (221)
DOS(E_F) ... 6.1 states/eV/cell
Energy of formation ... 47.3 kJ per mole of atoms

POSCAR file:
```
CdP3W
1.0
4.747 0.000 0.000
0.000 4.747 0.000
0.000 0.000 4.747
P W Cd
3 1 1
Direct
0.000 0.500 0.000
0.000 0.000 0.500
0.500 0.000 0.000
0.000 0.000 0.000
0.500 0.500 0.500
```